[1]
TbTmTh | PBE | optimized geometry

Computed properties:
formation energy: 0.21 eV per atom
relative energy among the computed polymorphs: 190.4 meV per atom
total DFT energy (no corrections): -15.9 eV per formula unit
total magnetic moment: 0.0 μB/cell

```
TbTmTh
1.0
4.913 0.000 0.000
0.000 4.913 0.000
0.000 0.000 8.396
Tm Th Tb
2 2 2
Direct
0.000 0.500 0.290 Tm
0.500 0.000 0.710 Tm
0.500 0.500 0.000 Th
0.000 0.000 0.000 Th
0.000 0.500 0.706 Tb
0.500 0.000 0.294 Tb
```



[2]
TbTm8Th4 | PBE | optimized geometry

Computed properties:
formation energy: 0.23 eV per atom
total DFT energy (no corrections): -67.1 eV per formula unit
total magnetic moment: 0.0 μB/cell

```
TbTm8Th4
1.0
-1.410 4.347 -5.729
1.223 -7.150 -1.039
-8.040 -2.111 5.064
Th Tm Tb
4 8 1
Direct
0.500 0.000 0.000 Th
0.000 0.000 0.000 Th
0.000 0.500 0.000 Th
0.500 0.500 0.000 Th
0.939 0.189 0.690 Tm
0.560 0.780 0.339 Tm
0.502 0.751 0.690 Tm
0.061 0.249 0.310 Tm
0.498 0.249 0.310 Tm
0.440 0.220 0.661 Tm
0.939 0.751 0.690 Tm
0.061 0.811 0.310 Tm
0.000 0.500 0.500 Tb
```



[3]
TbTm4Th6 | PBE | optimized geometry

Computed properties:
formation energy: 0.42 eV per atom
total DFT energy (no corrections): -62.4 eV per formula unit
total magnetic moment: 0.0 μB/cell

```
TbTm4Th6
1.0
6.354 0.000 0.000
0.000 6.354 0.000
-3.177 -3.177 9.025
Tb Th Tm
1 6 4
Direct
0.500 0.500 0.000 Tb
0.000 0.500 0.000 Th
0.500 0.000 0.000 Th
0.501 0.878 0.379 Th
0.499 0.499 0.621 Th
0.122 0.122 0.621 Th
0.878 0.501 0.379 Th
0.058 0.689 0.746 Tm
0.689 0.058 0.746 Tm
0.311 0.311 0.254 Tm
0.942 0.942 0.254 Tm
```



total DFT energy (no corrections) of number 3 (TbTm4Th6)?
-62.4 eV per formula unit